5
Lattice="-3.513 -0.430 -0.732 0.795 -0.572 -3.479 0.288 -3.421 0.628" Properties=species:S:1:pos:R:3 comment="MoN2O2 (PBE+U, relaxed)" density_kg_m3=5681 e_above_lowest_polymorph_kj_per_mol_atoms=131.8 final_energy_ev_per_atom=-5.06 pbc="T T T"
Mo -1.215 -2.211 -1.792
O 0.000 0.000 0.000
O 0.144 -1.710 0.314
N 0.398 -0.286 -1.739
N -1.756 -0.215 -0.366